# Sm2Be4SiPt3, relaxed, DFT PBE
# Formation energy without anion corrections (kJ per mole of atoms): -72.0
# E_tot (eV per formula unit): -55.354
data_Sm2Be4SiPt3
_chemical_formula_sum 'Sm2 Be4 Si1 Pt3'
_symmetry_space_group_name_H-M 'P -4 m 2'
_symmetry_Int_Tables_number 115
_symmetry_space_group_name_Hall 'P -4 -2'
_cell_length_a 3.938
_cell_length_b 3.938
_cell_length_c 10.082
_cell_angle_alpha 90.00
_cell_angle_beta 90.00
_cell_angle_gamma 90.00
loop_
_atom_site_label
_atom_site_fract_x
_atom_site_fract_y
_atom_site_fract_z
Sm1 0.000 0.500 0.249
Be1 0.000 0.000 0.500
Be2 0.000 0.500 0.866
Be3 0.500 0.500 0.500
Si1 0.500 0.500 0.000
Pt1 0.000 0.000 0.000
Pt2 0.000 0.500 0.622